(1)
VASP calculation (PBE-GGA) on a relaxed structure of CuAgSeBr2.

Cell: 5.1451 5.1451 4.7747 Å, 90.00 90.00 90.00°
Closest atoms and distances in Å follow each position.
Fractional coordinates of all 5 atoms:
Ag (0.5000, 0.5000, 0.5000)  8 Br 3.51, 4 Se 3.64
Se (0.0000, 0.0000, 0.5000)  2 Cu 2.39
Br (0.5000, 0.0000, 0.0000)  2 Cu 2.57
Br (0.0000, 0.5000, 0.0000)  2 Cu 2.57
Cu (0.0000, 0.0000, 0.0000)  2 Se 2.39, 4 Br 2.57

Computed properties:
As for the uncorrected energy: -12.7 eV for the cell shown. The calculation puts the uncorrected formation energy at 0.2142 eV per atom. Its energy above the most stable polymorph in this dataset is 0.0000 eV/atom.

(2)
VASP calculation (PBE-GGA) on a relaxed structure of HoScMnCd.

Cell: 5.0045 5.0045 5.0045 Å, 60.00 60.00 60.00°
Closest atoms and distances in Å follow each position.
Fractional coordinates of all 4 atoms:
Cd (0.7500, 0.7500, 0.7500)  4 Sc 3.06, 4 Ho 3.06
Ho (0.5000, 0.5000, 0.5000)  4 Cd 3.06, 4 Mn 3.06
Sc (0.0000, 0.0000, 0.0000)  4 Cd 3.06, 4 Mn 3.06
Mn (0.2500, 0.2500, 0.2500)  4 Ho 3.06, 4 Sc 3.06

Computed properties:
As for the uncorrected energy: -21.0 eV for the cell shown. The formation energy comes out at -0.011 eV/atom.

(3)
VASP calculation (PBE-GGA) on a relaxed structure of ErTh2AuC.

Cell: 5.0335 5.0334 4.8027 Å, 90.00 90.00 90.00°
Closest atoms and distances in Å follow each position.
Fractional coordinates of all 5 atoms:
Th (0.5000, 0.0000, 0.9996)  2 C 2.52
Th (0.0000, 0.5000, 0.9995)  2 C 2.52
Er (0.0000, 0.0000, 0.4997)  2 C 2.40
C (0.0000, 0.0000, 0.9998)  2 Er 2.40, 4 Th 2.52
Au (0.5000, 0.5000, 0.5013)  8 Th 3.47-3.48, 4 Er 3.56

Computed properties:
As for the uncorrected energy: -33.6 eV for the cell shown. The formation energy comes out at -0.334 eV/atom.

(4)
VASP calculation (PBE-GGA) on a relaxed structure of ErGe2Pd5.

Cell: 3.7717 6.4835 6.4835 Å, 68.56 73.09 73.09°
Closest atoms and distances in Å follow each position.
Fractional coordinates of all 8 atoms:
Pd (0.6425, 0.1559, 0.5592)  3 Ge 2.44-2.62
Pd (0.3575, 0.4408, 0.8441)  3 Ge 2.44-2.62
Pd (0.0000, 0.5000, 0.5000)  2 Ge 2.50, 8 Pd 2.79
Pd (0.3575, 0.8441, 0.4408)  3 Ge 2.44-2.62
Pd (0.6425, 0.5592, 0.1559)  3 Ge 2.44-2.62
Er (0.0000, 0.0000, 0.0000)  4 Ge 3.15, 8 Pd 3.22
Ge (0.7510, 0.7490, 0.7490)  7 Pd 2.44-2.62
Ge (0.2490, 0.2510, 0.2510)  7 Pd 2.44-2.62

Computed properties:
As for the uncorrected energy: -44.9 eV for the cell shown. The formation energy comes out at -0.644 eV/atom.

(5)
VASP calculation (PBE-GGA) on a relaxed structure of PrNdDy2S4.

Cell: 3.9379 7.0546 6.8680 Å, 71.28 90.00 90.00°
Closest atoms and distances in Å follow each position.
Fractional coordinates of all 8 atoms:
S (0.5000, 0.7673, 0.2453)  3 Dy 2.76, 2 Nd 2.89, 1 Pr 2.90
S (0.5000, 0.2327, 0.7547)  3 Dy 2.76, 2 Nd 2.89, 1 Pr 2.90
S (0.0000, 0.2317, 0.2576)  3 Dy 2.75-2.77, 1 Nd 2.89, 2 Pr 2.90
S (0.0000, 0.7683, 0.7424)  3 Dy 2.75-2.77, 1 Nd 2.89, 2 Pr 2.90
Nd (0.0000, 0.5000, 0.5000)  6 S 2.89
Dy (0.5000, 0.0000, 0.5000)  6 S 2.75-2.76
Dy (0.0000, 0.0000, 0.0000)  6 S 2.76-2.77
Pr (0.5000, 0.5000, 0.0000)  6 S 2.90

Computed properties:
As for the uncorrected energy: -51.4 eV for the cell shown. The calculation puts the uncorrected formation energy at -2.0127 eV per atom.

(6)
VASP calculation (PBE-GGA) on a relaxed structure of AlCl3O.

Cell: 4.6757 4.6757 4.6757 Å, 90.00 90.00 90.00°
Closest atoms and distances in Å follow each position.
Fractional coordinates of all 5 atoms:
O (0.5000, 0.5000, 0.5000)  12 Cl 3.31
Al (0.0000, 0.0000, 0.0000)  6 Cl 2.34
Cl (0.0000, 0.0000, 0.5000)  2 Al 2.34
Cl (0.5000, 0.0000, 0.0000)  2 Al 2.34
Cl (0.0000, 0.5000, 0.0000)  2 Al 2.34

Computed properties:
As for the uncorrected energy: -15.8 eV for the cell shown. The calculation puts the uncorrected formation energy at -0.3151 eV per atom. Its energy above the most stable polymorph in this dataset is 0.0000 eV/atom.

What did the third record say?
VASP calculation (PBE-GGA) on a relaxed structure of ErTh2AuC.

Cell: 5.0335 5.0334 4.8027 Å, 90.00 90.00 90.00°
Closest atoms and distances in Å follow each position.
Fractional coordinates of all 5 atoms:
Th (0.5000, 0.0000, 0.9996)  2 C 2.52
Th (0.0000, 0.5000, 0.9995)  2 C 2.52
Er (0.0000, 0.0000, 0.4997)  2 C 2.40
C (0.0000, 0.0000, 0.9998)  2 Er 2.40, 4 Th 2.52
Au (0.5000, 0.5000, 0.5013)  8 Th 3.47-3.48, 4 Er 3.56

Computed properties:
As for the uncorrected energy: -33.6 eV for the cell shown. The formation energy comes out at -0.334 eV/atom.

Which value of uncorrected energy does entry 2 give?
-21.0 eV for the cell shown

Which value of uncorrected energy does entry 4 give?
-44.9 eV for the cell shown

uncorrected energy of number 6 (AlCl3O)?
-15.8 eV for the cell shown